Entry 1:
Ge2BIr after structural relaxation. Source: the Alexandria database, functional PBE-GGA.

Cell lengths 6.352, 6.352, 6.352 Å; angles 131.55, 131.55, 70.95 degrees
Positions (direct):
Ge 0.072 0.625 0.947
Ge 0.375 0.322 0.447
Ge 0.678 0.125 0.053
Ge 0.875 0.928 0.553
B 0.000 0.000 0.000
B 0.750 0.250 0.500
Ir 0.250 0.750 0.500
Ir 0.500 0.500 0.000

Calculated values
magnetization: 0.000 μB/cell
formation energy from the elements: 381.9 meV per atom

***

Entry 2:
GeBIr3 after structural relaxation. Source: the Alexandria database, functional PBE-GGA.

Cell lengths 5.545, 3.603, 6.784 Å; angles 90.00, 99.03, 90.00 degrees
Positions (direct):
Ge 0.167 0.250 0.143
Ge 0.833 0.750 0.857
B 0.264 0.750 0.587
B 0.736 0.250 0.413
Ir 0.051 0.250 0.650
Ir 0.309 0.750 0.923
Ir 0.464 0.750 0.337
Ir 0.536 0.250 0.663
Ir 0.691 0.250 0.077
Ir 0.949 0.750 0.350

Calculated values
E above lowest polymorph: 0.0 kJ/mol of atoms
magnetization: 0.000 μB/cell
formation energy from the elements: -149.9 meV per atom

***

Entry 3:
LiGe2B2Ir5 after structural relaxation. Source: the Alexandria database, functional PBE-GGA.

Cell lengths 9.330, 9.330, 2.957 Å; angles 90.00, 90.00, 90.00 degrees
Positions (direct):
Li 0.000 0.000 0.000
Li 0.500 0.500 0.000
Ge 0.179 0.321 0.000
Ge 0.321 0.821 0.000
Ge 0.679 0.179 0.000
Ge 0.821 0.679 0.000
B 0.130 0.630 0.000
B 0.370 0.130 0.000
B 0.630 0.870 0.000
B 0.870 0.370 0.000
Ir 0.000 0.500 0.500
Ir 0.081 0.794 0.500
Ir 0.206 0.081 0.500
Ir 0.294 0.581 0.500
Ir 0.419 0.294 0.500
Ir 0.500 0.000 0.500
Ir 0.581 0.706 0.500
Ir 0.706 0.419 0.500
Ir 0.794 0.919 0.500
Ir 0.919 0.206 0.500

Calculated values
magnetization: 0.000 μB/cell
formation energy from the elements: -56.6 meV per atom

***

formation energy from the elements of number 2 (GeBIr3)?
-149.9 meV per atom